1.
Material: ErGe12Pt4
Method: DFT, PBE-GGA
State: relaxed

Unit cell a=7.5375 b=7.5375 c=7.5375 alpha=109.47 beta=109.47 gamma=109.47
Last column: nearest neighbours and their distance in Å.
Fractional coordinates of all 17 atoms:
Er 0.0000 0.0000 0.0000  12 Ge 3.34
Ge 0.1495 0.3530 0.5024  2 Pt 2.51, 2 Ge 2.56-2.60
Ge 0.1495 0.6470 0.7965  2 Pt 2.51, 2 Ge 2.56-2.60
Ge 0.2035 0.8505 0.3530  2 Pt 2.51, 2 Ge 2.56-2.60
Ge 0.3530 0.2035 0.8505  2 Pt 2.51, 2 Ge 2.56-2.60
Ge 0.3530 0.5024 0.1495  2 Pt 2.51, 2 Ge 2.56-2.60
Ge 0.4976 0.8505 0.6470  2 Pt 2.51, 2 Ge 2.56-2.60
Ge 0.5024 0.1495 0.3530  2 Pt 2.51, 2 Ge 2.56-2.60
Ge 0.6470 0.4976 0.8505  2 Pt 2.51, 2 Ge 2.56-2.60
Ge 0.6470 0.7965 0.1495  2 Pt 2.51, 2 Ge 2.56-2.60
Ge 0.7965 0.1495 0.6470  2 Pt 2.51, 2 Ge 2.56-2.60
Ge 0.8505 0.3530 0.2035  2 Pt 2.51, 2 Ge 2.56-2.60
Ge 0.8505 0.6470 0.4976  2 Pt 2.51, 2 Ge 2.56-2.60
Pt 0.0000 0.0000 0.5000  6 Ge 2.51
Pt 0.0000 0.5000 0.0000  6 Ge 2.51
Pt 0.5000 0.0000 0.0000  6 Ge 2.51
Pt 0.5000 0.5000 0.5000  6 Ge 2.51

Electronic total energy in eV per atom: -5.2873
Calculated density in Mg/m³: 9.2
Energy of formation from the pure elements in eV/atom: -0.34

=====

2.
Material: Er2Ge6Pt
Method: DFT, PBE-GGA
State: relaxed

Unit cell a=4.0822 b=11.1238 c=11.1238 alpha=21.00 beta=90.00 gamma=90.00
Last column: nearest neighbours and their distance in Å.
Fractional coordinates of all 9 atoms:
Er 0.0000 0.0000 0.0000  10 Ge 3.10-3.42, 4 Pt 3.14
Er 0.0000 0.3403 0.3403  10 Ge 2.97-3.10
Ge 0.0000 0.6248 0.6248  2 Pt 2.52, 1 Ge 2.52
Ge 0.0000 0.7399 0.7399  1 Ge 2.52
Ge 0.5000 0.1255 0.1255  2 Pt 2.51, 1 Ge 2.52
Ge 0.5000 0.2409 0.2409  1 Ge 2.52
Ge 0.5000 0.4467 0.4467  1 Pt 2.42, 2 Ge 2.57
Ge 0.5000 0.8748 0.8748  2 Ge 2.57
Pt 0.5000 0.5575 0.5575  5 Ge 2.42-2.52

Electronic total energy in eV per atom: -5.2822
Calculated density in Mg/m³: 8.9
Energy of formation from the pure elements in eV/atom: -0.52

=====

3.
Material: Er3Ge3Pt
Method: DFT, PBE-GGA
State: relaxed

Unit cell a=5.6798 b=5.6798 c=13.8795 alpha=108.15 beta=108.15 gamma=44.31
Last column: nearest neighbours and their distance in Å.
Fractional coordinates of all 14 atoms:
Er 0.0314 0.0314 0.3777  6 Ge 2.97-3.20, 4 Pt 3.03-3.31
Er 0.1013 0.1013 0.9239  7 Ge 2.89-3.19
Er 0.2418 0.2418 0.2272  6 Ge 2.98-3.12, 2 Pt 3.07
Er 0.7582 0.7582 0.7728  6 Ge 2.98-3.12, 2 Pt 3.07
Er 0.8987 0.8987 0.0761  7 Ge 2.89-3.19
Er 0.9686 0.9686 0.6223  6 Ge 2.97-3.20, 4 Pt 3.03-3.31
Ge 0.3671 0.3671 0.4610  3 Pt 2.52-2.76, 1 Ge 2.64
Ge 0.3772 0.3772 0.9256  2 Ge 2.66-2.71, 3 Er 2.89-2.95
Ge 0.4730 0.4730 0.7712  1 Pt 2.60, 1 Ge 2.66
Ge 0.5270 0.5270 0.2288  1 Pt 2.60, 1 Ge 2.66
Ge 0.6228 0.6228 0.0744  2 Ge 2.66-2.71, 3 Er 2.89-2.95
Ge 0.6329 0.6329 0.5390  3 Pt 2.52-2.76, 1 Ge 2.64
Pt 0.2523 0.2523 0.6130  4 Ge 2.52-2.76
Pt 0.7477 0.7477 0.3870  4 Ge 2.52-2.76

Electronic total energy in eV per atom: -5.7700
Calculated density in Mg/m³: 10.3
Energy of formation from the pure elements in eV/atom: -0.97

=====

4.
Material: Er3Ge3Pt2
Method: DFT, PBE-GGA
State: relaxed

Unit cell a=7.9862 b=14.4582 c=5.6617 alpha=90.00 beta=90.00 gamma=90.00
Last column: nearest neighbours and their distance in Å.
Fractional coordinates of all 32 atoms:
Er 0.0388 0.1111 0.1280  3 Pt 3.00-3.32, 6 Ge 3.01-3.26
Er 0.0388 0.3889 0.1280  3 Pt 3.00-3.32, 6 Ge 3.01-3.26
Er 0.1839 0.2500 0.6318  4 Pt 2.98-3.06, 5 Ge 2.99-3.25
Er 0.3161 0.7500 0.1318  4 Pt 2.98-3.06, 5 Ge 2.99-3.25
Er 0.4612 0.6111 0.6280  3 Pt 3.00-3.32, 6 Ge 3.01-3.26
Er 0.4612 0.8889 0.6280  3 Pt 3.00-3.32, 6 Ge 3.01-3.26
Er 0.5388 0.1111 0.3720  3 Pt 3.00-3.32, 6 Ge 3.01-3.26
Er 0.5388 0.3889 0.3720  3 Pt 3.00-3.32, 6 Ge 3.01-3.26
Er 0.6839 0.2500 0.8682  4 Pt 2.98-3.06, 5 Ge 2.99-3.25
Er 0.8161 0.7500 0.3682  4 Pt 2.98-3.06, 5 Ge 2.99-3.25
Er 0.9612 0.6111 0.8720  3 Pt 3.00-3.32, 6 Ge 3.01-3.26
Er 0.9612 0.8889 0.8720  3 Pt 3.00-3.32, 6 Ge 3.01-3.26
Ge 0.1807 0.7500 0.6249  2 Pt 2.61
Ge 0.1989 0.0382 0.6001  3 Pt 2.51-2.64
Ge 0.1989 0.4618 0.6001  3 Pt 2.51-2.64
Ge 0.3011 0.5382 0.1001  3 Pt 2.51-2.64
Ge 0.3011 0.9618 0.1001  3 Pt 2.51-2.64
Ge 0.3193 0.2500 0.1249  2 Pt 2.61
Ge 0.6807 0.7500 0.8751  2 Pt 2.61
Ge 0.6989 0.0382 0.8999  3 Pt 2.51-2.64
Ge 0.6989 0.4618 0.8999  3 Pt 2.51-2.64
Ge 0.8011 0.5382 0.3999  3 Pt 2.51-2.64
Ge 0.8011 0.9618 0.3999  3 Pt 2.51-2.64
Ge 0.8193 0.2500 0.3751  2 Pt 2.61
Pt 0.0873 0.6087 0.3714  4 Ge 2.51-2.64
Pt 0.0873 0.8913 0.3714  4 Ge 2.51-2.64
Pt 0.4127 0.1087 0.8714  4 Ge 2.51-2.64
Pt 0.4127 0.3913 0.8714  4 Ge 2.51-2.64
Pt 0.5873 0.6087 0.1286  4 Ge 2.51-2.64
Pt 0.5873 0.8913 0.1286  4 Ge 2.51-2.64
Pt 0.9127 0.1087 0.6286  4 Ge 2.51-2.64
Pt 0.9127 0.3913 0.6286  4 Ge 2.51-2.64

Electronic total energy in eV per atom: -5.9691
Calculated density in Mg/m³: 11.3
Energy of formation from the pure elements in eV/atom: -1.02

=====

5.
Material: ErGePt2
Method: DFT, PBE-GGA
State: relaxed

Unit cell a=3.5543 b=3.5663 c=5.8523 alpha=90.00 beta=90.00 gamma=90.00
Last column: nearest neighbours and their distance in Å.
Fractional coordinates of all 4 atoms:
Er 0.0000 0.0000 0.0000  2 Ge 2.93, 8 Pt 2.95
Ge 0.0000 0.0000 0.5000  8 Pt 2.88, 2 Er 2.93
Pt 0.5000 0.5000 0.2623  2 Pt 2.78-3.07, 4 Ge 2.88, 4 Er 2.95
Pt 0.5000 0.5000 0.7377  2 Pt 2.78-3.07, 4 Ge 2.88, 4 Er 2.95

Electronic total energy in eV per atom: -6.1225
Calculated density in Mg/m³: 14.1
Energy of formation from the pure elements in eV/atom: -0.81

=====

6.
Material: ErGePt
Method: DFT, PBE-GGA
State: relaxed

Unit cell a=6.9782 b=4.3547 c=7.6145 alpha=90.00 beta=90.00 gamma=90.00
Last column: nearest neighbours and their distance in Å.
Fractional coordinates of all 12 atoms:
Er 0.0032 0.2500 0.2037  6 Pt 2.99-3.25, 6 Ge 3.01-3.21
Er 0.4968 0.7500 0.7037  6 Pt 2.99-3.25, 6 Ge 3.01-3.21
Er 0.5032 0.2500 0.2963  6 Pt 2.99-3.25, 6 Ge 3.01-3.21
Er 0.9968 0.7500 0.7963  6 Pt 2.99-3.25, 6 Ge 3.01-3.21
Ge 0.1900 0.2500 0.5891  4 Pt 2.55-2.76
Ge 0.3100 0.7500 0.0891  4 Pt 2.55-2.76
Ge 0.6900 0.2500 0.9109  4 Pt 2.55-2.76
Ge 0.8100 0.7500 0.4109  4 Pt 2.55-2.76
Pt 0.2062 0.7500 0.4155  4 Ge 2.55-2.76
Pt 0.2938 0.2500 0.9155  4 Ge 2.55-2.76
Pt 0.7062 0.7500 0.0845  4 Ge 2.55-2.76
Pt 0.7938 0.2500 0.5845  4 Ge 2.55-2.76

Electronic total energy in eV per atom: -6.2174
Calculated density in Mg/m³: 12.5
Energy of formation from the pure elements in eV/atom: -1.14